1.
Density functional theory data (PBEsol) for an optimized crystal structure of SrZr2Zn.

CIF file:
```
data_SrZr2Zn
_cell_length_a 6.184
_cell_length_b 9.992
_cell_length_c 2.983
_cell_angle_alpha 90.00
_cell_angle_beta 90.00
_cell_angle_gamma 90.00
_space_group_name_H-M_alt 'C m m m'
_space_group_IT_number 65
_space_group_name_Hall '-C 2 2'
loop_
_atom_site_label
_atom_site_fract_x
_atom_site_fract_y
_atom_site_fract_z
Sr1 0.000 0.000 0.000
Zr1 0.250 0.250 0.500
Zn1 0.000 0.500 0.000
```

Output
ΔH_f (0 K)   0.51 eV/atom
E_tot   -4.89 eV/atom
DOS at the Fermi energy   4.44 states/eV/f.u.
Magnetic moment   0.00 μB/atom

=====

2.
Density functional theory data (PBEsol) for an optimized crystal structure of GeBr3F.

CIF file:
```
data_GeBr3F
_cell_length_a 4.834
_cell_length_b 4.834
_cell_length_c 4.834
_cell_angle_alpha 90.00
_cell_angle_beta 90.00
_cell_angle_gamma 90.00
_space_group_name_H-M_alt 'P m -3 m'
_space_group_IT_number 221
_space_group_name_Hall '-P 4 2 3'
loop_
_atom_site_label
_atom_site_fract_x
_atom_site_fract_y
_atom_site_fract_z
Ge1 0.000 0.000 0.000
Br1 0.000 0.500 0.500
F1 0.500 0.500 0.500
```

Output
E_tot   -2.27 eV/atom
Formation energy without anion corrections   0.2219 eV per atom
DOS at the Fermi energy   3.61 states/eV/f.u.
Magnetic moment   0.00 μB/atom

=====

3.
Density functional theory data (PBEsol) for an optimized crystal structure of MgAlPt2.

CIF file:
```
data_MgAlPt2
_cell_length_a 5.780
_cell_length_b 7.042
_cell_length_c 2.876
_cell_angle_alpha 90.00
_cell_angle_beta 90.00
_cell_angle_gamma 90.00
_space_group_name_H-M_alt 'C m m m'
_space_group_IT_number 65
_space_group_name_Hall '-C 2 2'
loop_
_atom_site_label
_atom_site_fract_x
_atom_site_fract_y
_atom_site_fract_z
Mg1 0.000 0.000 0.000
Al1 0.000 0.500 0.000
Pt1 0.250 0.250 0.500
```

Output
ΔH_f (0 K)   -0.92 eV/atom
E_tot   -5.86 eV/atom
DOS at the Fermi energy   0.86 states/eV/f.u.
Magnetic moment   0.00 μB/atom

=====

4.
Density functional theory data (PBEsol) for an optimized crystal structure of MgZn2PtF.

CIF file:
```
data_MgZn2PtF
_cell_length_a 4.051
_cell_length_b 4.051
_cell_length_c 4.961
_cell_angle_alpha 90.00
_cell_angle_beta 90.00
_cell_angle_gamma 90.00
_space_group_name_H-M_alt 'P 4/m m m'
_space_group_IT_number 123
_space_group_name_Hall '-P 4 2'
loop_
_atom_site_label
_atom_site_fract_x
_atom_site_fract_y
_atom_site_fract_z
Mg1 0.000 0.000 0.000
Zn1 0.000 0.500 0.500
Pt1 0.500 0.500 0.000
F1 0.500 0.500 0.500
```

Output
E_tot   -2.87 eV/atom
Formation energy without anion corrections   -0.1166 eV per atom
DOS at the Fermi energy   1.62 states/eV/f.u.
Magnetic moment   0.00 μB/atom

=====

5.
Density functional theory data (PBEsol) for an optimized crystal structure of CaPW2.

CIF file:
```
data_CaPW2
_cell_length_a 3.208
_cell_length_b 4.149
_cell_length_c 5.982
_cell_angle_alpha 90.00
_cell_angle_beta 105.40
_cell_angle_gamma 90.00
_space_group_name_H-M_alt 'P 1 m 1'
_space_group_IT_number 6
_space_group_name_Hall 'P -2y'
loop_
_atom_site_label
_atom_site_fract_x
_atom_site_fract_y
_atom_site_fract_z
Ca1 0.000 0.000 0.000
P1 0.610 0.500 0.222
W1 0.267 0.500 0.539
W2 0.737 0.000 0.479
```

Output
ΔH_f (0 K)   0.09 eV/atom
E_tot   -8.79 eV/atom
DOS at the Fermi energy   2.15 states/eV/f.u.
Magnetic moment   0.00 μB/atom

=====

6.
Density functional theory data (PBEsol) for an optimized crystal structure of Li4Cl.

CIF file:
```
data_Li4Cl
_cell_length_a 5.855
_cell_length_b 5.855
_cell_length_c 5.855
_cell_angle_alpha 90.00
_cell_angle_beta 90.00
_cell_angle_gamma 90.00
_space_group_name_H-M_alt 'I m -3 m'
_space_group_IT_number 229
_space_group_name_Hall '-I 4 2 3'
loop_
_atom_site_label
_atom_site_fract_x
_atom_site_fract_y
_atom_site_fract_z
Li1 0.250 0.250 0.250
Cl1 0.000 0.000 0.000
```

Output
E_tot   -2.43 eV/atom
Formation energy without anion corrections   -0.4592 eV per atom
DOS at the Fermi energy   2.39 states/eV/f.u.
Magnetic moment   0.00 μB/atom

=====

7.
Density functional theory data (PBEsol) for an optimized crystal structure of Al2CdSi.

CIF file:
```
data_Al2CdSi
_cell_length_a 4.937
_cell_length_b 2.855
_cell_length_c 10.172
_cell_angle_alpha 90.00
_cell_angle_beta 103.94
_cell_angle_gamma 90.00
_space_group_name_H-M_alt 'C 1 m 1'
_space_group_IT_number 8
_space_group_name_Hall 'C -2y'
loop_
_atom_site_label
_atom_site_fract_x
_atom_site_fract_y
_atom_site_fract_z
Al1 0.000 0.000 0.000
Al2 0.223 0.000 0.766
Cd1 0.411 0.000 0.496
Si1 0.274 0.500 0.220
```

Output
E_tot   -3.61 eV/atom
Formation energy without anion corrections   0.1718 eV per atom
DOS at the Fermi energy   1.43 states/eV/f.u.
Magnetic moment   0.00 μB/atom

=====

8.
Density functional theory data (PBEsol) for an optimized crystal structure of KAs2W2.

CIF file:
```
data_KAs2W2
_cell_length_a 3.762
_cell_length_b 3.762
_cell_length_c 15.457
_cell_angle_alpha 90.00
_cell_angle_beta 90.00
_cell_angle_gamma 90.00
_space_group_name_H-M_alt 'I 4/m m m'
_space_group_IT_number 139
_space_group_name_Hall '-I 4 2'
loop_
_atom_site_label
_atom_site_fract_x
_atom_site_fract_y
_atom_site_fract_z
K1 0.000 0.000 0.000
As1 0.000 0.000 0.367
W1 0.000 0.500 0.250
```

Output
ΔH_f (0 K)   -0.13 eV/atom
E_tot   -7.92 eV/atom
DOS at the Fermi energy   0.51 states/eV/f.u.
Magnetic moment   0.00 μB/atom